1.
# Li3P

Li3P at its PBEsol-relaxed geometry (SCAN, the Alexandria database).

a b c (Å): 4.715 4.715 4.715
angles (deg): 90.00 90.00 90.00
Positions (direct):
Li (0.000, 0.250, 0.500)
Li (0.000, 0.750, 0.500)
Li (0.250, 0.500, 0.000)
Li (0.500, 0.000, 0.250)
Li (0.500, 0.000, 0.750)
Li (0.750, 0.500, 0.000)
P (0.000, 0.000, 0.000)
P (0.500, 0.500, 0.500)

Calculated values
The magnetization is 0.00 μB/atom. As for the formation energy from the elements: -0.718 eV per atom.

2.
# K2FePt

K2FePt at its PBEsol-relaxed geometry (SCAN, the Alexandria database).

a b c (Å): 5.275 5.275 5.275
angles (deg): 60.00 60.00 60.00
Positions (direct):
K (0.250, 0.250, 0.250)
K (0.750, 0.750, 0.750)
Fe (0.000, 0.000, 0.000)
Pt (0.500, 0.500, 0.500)

Calculated values
The magnetization is 0.98 μB/atom. The relative energy among the computed polymorphs comes out at 263 meV per atom. As for the formation energy from the elements: 0.802 eV per atom.

3.
# CsBi2Ru

CsBi2Ru at its PBEsol-relaxed geometry (SCAN, the Alexandria database).

a b c (Å): 5.264 5.264 5.264
angles (deg): 60.00 60.00 60.00
Positions (direct):
Cs (0.000, 0.000, 0.000)
Bi (0.250, 0.250, 0.250)
Bi (0.750, 0.750, 0.750)
Ru (0.500, 0.500, 0.500)

Calculated values
The magnetization is 0.00 μB/atom. As for the formation energy from the elements: 0.817 eV per atom.

4.
# Ag2BPd2

Ag2BPd2 at its PBEsol-relaxed geometry (SCAN, the Alexandria database).

a b c (Å): 7.278 7.278 7.278
angles (deg): 152.55 152.55 39.22
Positions (direct):
Ag (0.250, 0.750, 0.500)
Ag (0.750, 0.250, 0.500)
B (0.000, 0.000, 0.000)
Pd (0.410, 0.410, 0.000)
Pd (0.590, 0.590, 0.000)

Calculated values
The magnetization is 0.00 μB/atom. As for the formation energy from the elements: 1.001 eV per atom.

5.
# Sc2NbPbSe

Sc2NbPbSe at its PBEsol-relaxed geometry (SCAN, the Alexandria database).

a b c (Å): 5.024 5.024 5.324
angles (deg): 90.00 90.00 90.00
Positions (direct):
Sc (0.000, 0.500, 0.000)
Sc (0.500, 0.000, 0.000)
Nb (0.000, 0.000, 0.000)
Pb (0.000, 0.000, 0.500)
Se (0.500, 0.500, 0.500)

Calculated values
The value obtained for the raw formation energy is 403.0 meV/atom. The magnetization is 0.00 μB/atom.

6.
# Fe5Re

Fe5Re at its PBEsol-relaxed geometry (SCAN, the Alexandria database).

a b c (Å): 2.814 2.814 8.712
angles (deg): 90.00 90.00 90.00
Positions (direct):
Fe (0.000, 0.000, 0.000)
Fe (0.000, 0.000, 0.319)
Fe (0.000, 0.000, 0.681)
Fe (0.500, 0.500, 0.160)
Fe (0.500, 0.500, 0.840)
Re (0.500, 0.500, 0.500)

Calculated values
The magnetization is 1.99 μB/atom. The relative energy among the computed polymorphs comes out at 0 meV per atom. As for the formation energy from the elements: -0.032 eV per atom.